[1]
Cu2TcAs: PBEsol geometry, meta-GGA SCAN.

Values from the calculation:
ρ = 9.41 Mg/m³
total moment = 0.00 Bohr magnetons per cell
symmetry = P2/m (10)
Fermi-level density of states = 2.37 states/eV/cell
total DFT energy (no corrections) = -21.187 eV/atom
calculated volume = 13.24 Å³/atom

The structure in POSCAR format:
```
Cu2TcAs
1.0
2.650 0.000 0.002
0.000 4.263 0.000
-1.218 0.000 4.686
As Cu Tc
1 2 1
direct
0.000 0.500 0.500 As
0.881 0.000 0.747 Cu
0.119 0.000 0.253 Cu
0.500 0.500 0.000 Tc
```


[2]
Zn5Rh3: PBEsol geometry, meta-GGA SCAN.

Values from the calculation:
ρ = 9.98 Mg/m³
total moment = 0.00 Bohr magnetons per cell
symmetry = Cmmm (65)
Fermi-level density of states = 2.88 states/eV/cell
total DFT energy (no corrections) = -21.520 eV/atom
calculated volume = 13.22 Å³/atom

The structure in POSCAR format:
```
Zn5Rh3
1.0
-1.552 -0.620 3.671
3.554 -3.624 0.890
2.555 4.109 1.774
Rh Zn
3 5
direct
0.000 0.500 0.500 Rh
0.500 0.777 0.223 Rh
0.500 0.223 0.777 Rh
0.000 0.000 0.000 Zn
0.000 0.500 0.000 Zn
0.000 0.000 0.500 Zn
0.500 0.723 0.723 Zn
0.500 0.277 0.277 Zn
```


[3]
CaMg30MnO32: PBEsol geometry, meta-GGA SCAN.

Values from the calculation:
uncorrected formation energy = -2944 meV per atom
ρ = 3.65 Mg/m³
total moment = 1.00 Bohr magnetons per cell
symmetry = P4/mmm (123)
total DFT energy (no corrections) = -8.827 eV/atom
calculated volume = 9.49 Å³/atom

The structure in POSCAR format:
```
CaMg30MnO32
1.0
8.468 0.000 0.000
0.000 8.468 0.000
0.000 0.000 8.468
Ca Mg Mn O
1 30 1 32
direct
0.000 0.000 0.000 Ca
0.500 0.000 0.000 Mg
0.000 0.500 0.000 Mg
0.000 0.000 0.500 Mg
0.500 0.000 0.500 Mg
0.000 0.500 0.500 Mg
0.500 0.500 0.500 Mg
0.254 0.254 0.000 Mg
0.746 0.254 0.000 Mg
0.254 0.746 0.000 Mg
0.746 0.746 0.000 Mg
0.251 0.251 0.500 Mg
0.749 0.251 0.500 Mg
0.251 0.749 0.500 Mg
0.749 0.749 0.500 Mg
0.253 0.000 0.253 Mg
0.747 0.000 0.253 Mg
0.252 0.500 0.249 Mg
0.748 0.500 0.249 Mg
0.253 0.000 0.747 Mg
0.747 0.000 0.747 Mg
0.252 0.500 0.751 Mg
0.748 0.500 0.751 Mg
0.000 0.253 0.253 Mg
0.500 0.252 0.249 Mg
0.000 0.747 0.253 Mg
0.500 0.748 0.249 Mg
0.000 0.253 0.747 Mg
0.500 0.252 0.751 Mg
0.000 0.747 0.747 Mg
0.500 0.748 0.751 Mg
0.500 0.500 0.000 Mn
0.000 0.000 0.262 O
0.500 0.000 0.251 O
0.000 0.500 0.251 O
0.500 0.500 0.249 O
0.000 0.000 0.738 O
0.500 0.000 0.749 O
0.000 0.500 0.749 O
0.500 0.500 0.751 O
0.250 0.250 0.250 O
0.750 0.250 0.250 O
0.250 0.750 0.250 O
0.750 0.750 0.250 O
0.250 0.250 0.750 O
0.750 0.250 0.750 O
0.250 0.750 0.750 O
0.750 0.750 0.750 O
0.263 0.000 0.000 O
0.737 0.000 0.000 O
0.254 0.500 0.000 O
0.746 0.500 0.000 O
0.252 0.000 0.500 O
0.748 0.000 0.500 O
0.251 0.500 0.500 O
0.749 0.500 0.500 O
0.000 0.263 0.000 O
0.500 0.254 0.000 O
0.000 0.737 0.000 O
0.500 0.746 0.000 O
0.000 0.252 0.500 O
0.500 0.251 0.500 O
0.000 0.748 0.500 O
0.500 0.749 0.500 O
```


[4]
Mn3FeP4O16: PBEsol geometry, meta-GGA SCAN.

Values from the calculation:
uncorrected formation energy = -2313 meV per atom
ρ = 3.60 Mg/m³
total moment = 9.00 Bohr magnetons per cell
symmetry = Pm (6)
total DFT energy (no corrections) = -11.237 eV/atom
calculated volume = 11.54 Å³/atom

The structure in POSCAR format:
```
Mn3FeP4O16
1.0
4.814 0.000 -0.002
0.000 5.899 0.000
-0.051 0.000 9.753
P Mn Fe O
4 3 1 16
direct
0.095 0.000 0.399 P
0.407 0.000 0.904 P
0.589 0.500 0.099 P
0.905 0.500 0.599 P
0.077 0.500 0.286 Mn
0.428 0.500 0.784 Mn
0.574 0.000 0.214 Mn
0.951 0.000 0.722 Fe
0.147 0.000 0.554 O
0.241 0.205 0.328 O
0.241 0.795 0.328 O
0.222 0.500 0.624 O
0.274 0.500 0.123 O
0.255 0.202 0.831 O
0.255 0.798 0.831 O
0.346 0.000 0.058 O
0.640 0.500 0.943 O
0.737 0.705 0.169 O
0.737 0.295 0.169 O
0.718 0.000 0.879 O
0.779 0.000 0.375 O
0.761 0.706 0.669 O
0.761 0.294 0.669 O
0.857 0.500 0.443 O
```


[5]
InGa2CuRu: PBEsol geometry, meta-GGA SCAN.

Values from the calculation:
ρ = 6.64 Mg/m³
total moment = 0.00 Bohr magnetons per cell
symmetry = P4/mmm (123)
Fermi-level density of states = 2.84 states/eV/cell
total DFT energy (no corrections) = -22.881 eV/atom
calculated volume = 20.96 Å³/atom

The structure in POSCAR format:
```
InGa2CuRu
1.0
4.680 0.000 0.000
0.000 4.680 0.000
0.000 0.000 4.786
Ru Cu Ga In
1 1 2 1
direct
0.000 0.000 0.000 Ru
0.000 0.000 0.500 Cu
0.000 0.500 0.000 Ga
0.500 0.000 0.000 Ga
0.500 0.500 0.500 In
```


[6]
La2CrBr: PBEsol geometry, meta-GGA SCAN.

Values from the calculation:
uncorrected formation energy = -503 meV per atom
offset from the most stable computed form = 0.16 eV/f.u.
ρ = 6.59 Mg/m³
total moment = 3.17 Bohr magnetons per cell
symmetry = Pm (6)
Fermi-level density of states = 2.69 states/eV/cell
total DFT energy (no corrections) = -31.517 eV/atom
calculated volume = 25.83 Å³/atom

The structure in POSCAR format:
```
La2CrBr
1.0
3.571 0.000 -0.020
0.000 5.015 0.000
-1.762 0.000 5.779
Br Cr La
1 1 2
direct
0.139 0.000 0.406 Br
0.370 0.500 0.861 Cr
0.878 0.000 0.878 La
0.613 0.500 0.355 La
```


[7]
Ni5TeP6O24: PBEsol geometry, meta-GGA SCAN.

Values from the calculation:
uncorrected formation energy = -1853 meV per atom
ρ = 3.93 Mg/m³
total moment = 8.54 Bohr magnetons per cell
symmetry = R3 (146)
Fermi-level density of states = 11.78 states/eV/cell
total DFT energy (no corrections) = -11.021 eV/atom
calculated volume = 11.62 Å³/atom

The structure in POSCAR format:
```
Ni5TeP6O24
1.0
8.324 0.001 0.001
4.015 7.292 0.001
4.015 2.373 6.895
Ni Te P O
5 1 6 24
direct
0.994 0.994 0.994 Ni
0.640 0.640 0.640 Ni
0.500 0.500 0.500 Ni
0.859 0.859 0.859 Ni
0.361 0.361 0.361 Ni
0.141 0.141 0.141 Te
0.255 0.550 0.954 P
0.954 0.255 0.550 P
0.550 0.954 0.255 P
0.468 0.044 0.740 P
0.044 0.740 0.468 P
0.740 0.468 0.044 P
0.115 0.320 0.501 O
0.501 0.115 0.320 O
0.320 0.501 0.115 O
0.082 0.742 0.950 O
0.184 0.385 0.986 O
0.406 0.561 0.751 O
0.950 0.082 0.742 O
0.751 0.406 0.561 O
0.619 0.018 0.809 O
0.561 0.751 0.406 O
0.257 0.050 0.916 O
0.018 0.809 0.619 O
0.986 0.184 0.385 O
0.742 0.950 0.082 O
0.431 0.254 0.593 O
0.385 0.986 0.184 O
0.254 0.593 0.431 O
0.050 0.916 0.257 O
0.593 0.431 0.254 O
0.809 0.619 0.018 O
0.916 0.257 0.050 O
0.682 0.491 0.888 O
0.491 0.888 0.682 O
0.888 0.682 0.491 O
```


[8]
Li2NiAg: PBEsol geometry, meta-GGA SCAN.

Values from the calculation:
ρ = 5.59 Mg/m³
total moment = 0.00 Bohr magnetons per cell
symmetry = Pm (6)
Fermi-level density of states = 1.78 states/eV/cell
total DFT energy (no corrections) = -13.034 eV/atom
calculated volume = 13.40 Å³/atom

The structure in POSCAR format:
```
Li2NiAg
1.0
2.616 0.000 -0.036
0.000 4.159 0.000
-1.049 0.000 4.939
Ag Li Ni
1 2 1
direct
0.231 0.500 0.738 Ag
0.951 0.000 0.004 Li
0.760 0.500 0.258 Li
0.558 0.000 0.501 Ni
```


[9]
SrSc2Cr: PBEsol geometry, meta-GGA SCAN.

Values from the calculation:
offset from the most stable computed form = 0.00 eV/f.u.
ρ = 3.84 Mg/m³
total moment = 2.92 Bohr magnetons per cell
symmetry = P4/mmm (123)
Fermi-level density of states = 3.57 states/eV/cell
total DFT energy (no corrections) = -17.054 eV/atom
calculated volume = 24.81 Å³/atom

The structure in POSCAR format:
```
SrSc2Cr
1.0
-0.832 -1.960 2.540
2.820 -1.698 -0.387
4.172 5.627 5.707
Cr Sc Sr
1 2 1
direct
0.500 0.500 0.500 Cr
0.000 0.000 0.669 Sc
0.000 0.000 0.331 Sc
0.500 0.500 0.000 Sr
```


[10]
Ti2HgPt2: PBEsol geometry, meta-GGA SCAN.

Values from the calculation:
offset from the most stable computed form = 0.82 eV/f.u.
ρ = 12.27 Mg/m³
total moment = 0.00 Bohr magnetons per cell
symmetry = I4/mmm (139)
Fermi-level density of states = 0.99 states/eV/cell
total DFT energy (no corrections) = -48.823 eV/atom
calculated volume = 18.58 Å³/atom

The structure in POSCAR format:
```
Ti2HgPt2
1.0
4.290 0.000 0.000
0.000 4.290 0.000
-2.145 -2.145 5.046
Hg Pt Ti
1 2 2
direct
0.000 0.000 0.000 Hg
0.375 0.375 0.750 Pt
0.625 0.625 0.250 Pt
0.250 0.750 0.500 Ti
0.750 0.250 0.500 Ti
```